--- 1 ---
A geometry-optimized PPdRuC structure, computed with GGA-PBE.

Unit cell a=2.857 b=2.881 c=6.433 alpha=90.00 beta=96.13 gamma=90.00
Fractional coordinates of all 4 atoms:
1 C 0.064 0.000 0.849
2 Ru 0.575 0.500 0.934
3 Pd 0.240 0.000 0.539
4 P 0.654 0.500 0.298


--- 2 ---
A geometry-optimized PPdRuC structure, computed with GGA-PBE.

Unit cell a=3.101 b=4.233 c=5.345 alpha=83.29 beta=73.10 gamma=68.45
Fractional coordinates of all 4 atoms:
1 Ru 0.175 0.166 0.502
2 P 0.394 0.598 0.632
3 Pd 0.406 0.220 0.988
4 C 0.783 0.182 0.271


Top of the stability list: 1, leading by 3.4 kJ/mol of atoms.


--- 1 ---
A geometry-optimized PPdRuC structure, computed with GGA-PBE.

Unit cell a=3.620 b=3.652 c=4.269 alpha=102.43 beta=110.18 gamma=92.74
Fractional coordinates of all 4 atoms:
1 Pd 0.481 0.424 0.280
2 C 0.568 0.290 0.813
3 Ru 0.847 0.841 0.959
4 P 0.166 0.913 0.568


--- 2 ---
A geometry-optimized PPdRuC structure, computed with GGA-PBE.

Unit cell a=3.344 b=3.344 c=17.710 alpha=90.00 beta=90.00 gamma=120.00
Fractional coordinates of all 12 atoms:
1 P 0.667 0.333 0.445
2 P 0.333 0.667 0.778
3 P 0.000 0.000 0.111
4 Pd 0.667 0.333 0.038
5 Pd 0.333 0.667 0.371
6 Pd 0.000 0.000 0.704
7 C 0.667 0.333 0.249
8 C 0.000 0.000 0.916
9 C 0.333 0.667 0.583
10 Ru 0.667 0.333 0.575
11 Ru 0.333 0.667 0.908
12 Ru 0.000 0.000 0.241


--- 3 ---
A geometry-optimized PPdRuC structure, computed with GGA-PBE.

Unit cell a=3.423 b=2.973 c=9.392 alpha=90.00 beta=90.00 gamma=90.00
Fractional coordinates of all 8 atoms:
1 Pd 0.500 0.000 0.176
2 Pd 0.000 0.500 0.676
3 P 0.000 0.500 0.962
4 P 0.500 0.000 0.462
5 C 0.500 0.000 0.651
6 C 0.000 0.500 0.151
7 Ru 0.000 0.500 0.371
8 Ru 0.500 0.000 0.871


--- 4 ---
A geometry-optimized PPdRuC structure, computed with GGA-PBE.

Unit cell a=2.986 b=3.083 c=12.624 alpha=90.00 beta=90.00 gamma=90.00
Fractional coordinates of all 8 atoms:
1 Ru 0.500 0.500 0.614
2 Ru 0.000 0.000 0.114
3 Pd 0.000 0.000 0.901
4 Pd 0.500 0.500 0.401
5 C 0.000 0.500 0.025
6 C 0.500 0.000 0.525
7 P 0.500 0.000 0.257
8 P 0.000 0.500 0.757


Top of the stability list: 2, leading by 7.5 kJ/mol of atoms.


--- 1 ---
A geometry-optimized PPdCS2 structure, computed with GGA-PBE.

Unit cell a=4.789 b=4.789 c=4.527 alpha=90.00 beta=90.00 gamma=90.00
Fractional coordinates of all 5 atoms:
1 S 0.000 0.500 0.000
2 S 0.500 0.000 0.000
3 P 0.000 0.000 0.500
4 Pd 0.000 0.000 0.000
5 C 0.500 0.500 0.500


--- 2 ---
A geometry-optimized PPdCS2 structure, computed with GGA-PBE.

Unit cell a=4.140 b=4.140 c=4.014 alpha=90.00 beta=90.00 gamma=90.00
Fractional coordinates of all 5 atoms:
1 S 0.000 0.500 0.000
2 S 0.500 0.000 0.000
3 C 0.000 0.000 0.000
4 P 0.000 0.000 0.500
5 Pd 0.500 0.500 0.500


Top of the stability list: 2, leading by 81.7 kJ/mol of atoms.


--- 1 ---
A geometry-optimized P2PdCS structure, computed with GGA-PBE.

Unit cell a=4.576 b=4.576 c=4.876 alpha=90.00 beta=90.00 gamma=90.00
Fractional coordinates of all 5 atoms:
1 S 0.000 0.000 0.500
2 P 0.500 0.000 0.000
3 P 0.000 0.500 0.000
4 Pd 0.000 0.000 0.000
5 C 0.500 0.500 0.500


--- 2 ---
A geometry-optimized P2PdCS structure, computed with GGA-PBE.

Unit cell a=3.984 b=3.984 c=4.235 alpha=90.00 beta=90.00 gamma=90.00
Fractional coordinates of all 5 atoms:
1 P 0.000 0.500 0.000
2 P 0.500 0.000 0.000
3 Pd 0.500 0.500 0.500
4 S 0.000 0.000 0.500
5 C 0.000 0.000 0.000


Top of the stability list: 2, leading by 99.2 kJ/mol of atoms.